TbPa5: relaxed, PBE-GGA.

Output
- M_tot: 0.000 μB/cell
- SG: Cmmm (65)
- ΔE_f: 0.11 eV per atom

Lattice parameters (Å, degrees): 4.6865 4.6308 7.4618 108.08 90.00 90.00
Fractional coordinates of all 6 atoms:
Pa (0.5000, 0.1669, 0.3338)
Pa (0.0000, 0.3311, 0.6622)
Tb (0.0000, 0.0000, 0.0000)
Pa (0.5000, 0.8331, 0.6662)
Pa (0.0000, 0.6689, 0.3378)
Pa (0.5000, 0.5000, 0.0000)